Entry 1:
BaSmDy: relaxed, PBE.

CIF file:
```
data_BaSmDy
_symmetry_space_group_name_H-M 'P 3 m 1'
_symmetry_Int_Tables_number 156
_cell_length_a 3.7864
_cell_length_b 3.7864
_cell_length_c 9.4204
_cell_angle_alpha 90.00
_cell_angle_beta 90.00
_cell_angle_gamma 120.00
loop_
_symmetry_equiv_pos_as_xyz
'x,y,z'
'-y,x-y,z'
'-x+y,-x,z'
'-y,-x,z'
'-x+y,y,z'
'x,x-y,z'
loop_
_atom_site_label
_atom_site_type_symbol
_atom_site_fract_x
_atom_site_fract_y
_atom_site_fract_z
Ba1 Ba 0.0000 0.0000 0.0000
Sm1 Sm 0.3333 0.6667 0.6412
Dy1 Dy 0.6667 0.3333 0.3508
```

Its density of states at the Fermi level is 5.28 states/eV/cell. The calculation puts the magnetic moment at 0.00 μB/atom. As for the formation energy: 52 kJ/mol of formula units. Its total energy is -10.7 eV per cell. For the relative energy among the computed polymorphs, the calculation gives 0.03 eV per formula unit.

***

Entry 2:
TbSm2Th: relaxed, PBE.

CIF file:
```
data_TbSm2Th
_symmetry_space_group_name_H-M 'P 4/m m m'
_symmetry_Int_Tables_number 123
_symmetry_space_group_name_Hall '-P 4 2'
_cell_length_a 3.601
_cell_length_b 3.601
_cell_length_c 10.196
_cell_angle_alpha 90.00
_cell_angle_beta 90.00
_cell_angle_gamma 90.00
loop_
_atom_site_label
_atom_site_type_symbol
_atom_site_fract_x
_atom_site_fract_y
_atom_site_fract_z
Tb1 Tb 0.000 0.000 0.000
Sm1 Sm 0.500 0.500 0.257
Th1 Th 0.000 0.000 0.500
```

Its density of states at the Fermi level is 4.53 states/eV/cell. The calculation puts the magnetic moment at 0.00 μB/atom. As for the formation energy: 14 kJ/mol of formula units. Its total energy is -21.3 eV per cell. For the relative energy among the computed polymorphs, the calculation gives 0.07 eV per formula unit.

***

Entry 3:
La3Zn2Si4: relaxed, PBE.

CIF file:
```
data_La3Zn2Si4
_symmetry_space_group_name_H-M 'C 1 2/m 1'
_symmetry_Int_Tables_number 12
_cell_length_a 11.355
_cell_length_b 4.181
_cell_length_c 8.419
_cell_angle_alpha 90.00
_cell_angle_beta 97.87
_cell_angle_gamma 90.00
loop_
_symmetry_equiv_pos_as_xyz
'x,y,z'
'-x,-y,-z'
'-x,y,-z'
'x,-y,z'
'x+1/2,y+1/2,z'
'-x+1/2,-y+1/2,-z'
'-x+1/2,y+1/2,-z'
'x+1/2,-y+1/2,z'
loop_
_atom_site_label
_atom_site_type_symbol
_atom_site_fract_x
_atom_site_fract_y
_atom_site_fract_z
La1 La 0.000 0.000 0.000
La2 La 0.165 0.500 0.671
Zn1 Zn 0.110 0.500 0.279
Si1 Si 0.059 0.000 0.393
Si2 Si 0.220 0.500 0.053
```

Its density of states at the Fermi level is 8.63 states/eV/cell. The calculation puts the magnetic moment at 0.00 μB/atom. Its total energy is -90.7 eV per cell.

***

Entry 4:
Sm3Cu2Pd6: relaxed, PBE.

CIF file:
```
data_Sm3Cu2Pd6
_symmetry_space_group_name_H-M 'I m -3 m'
_symmetry_Int_Tables_number 229
_symmetry_space_group_name_Hall '-I 4 2 3'
_cell_length_a 9.527
_cell_length_b 9.527
_cell_length_c 9.527
_cell_angle_alpha 90.00
_cell_angle_beta 90.00
_cell_angle_gamma 90.00
loop_
_atom_site_label
_atom_site_type_symbol
_atom_site_fract_x
_atom_site_fract_y
_atom_site_fract_z
Sm1 Sm 0.000 0.000 0.298
Cu1 Cu 0.250 0.250 0.250
Pd1 Pd 0.000 0.334 0.334
```

Its density of states at the Fermi level is 16.07 states/eV/cell. The calculation puts the magnetic moment at 0.00 μB/atom. As for the formation energy: -678 kJ/mol of formula units. Its total energy is -242.2 eV per cell.

***

Entry 5:
Na2HfCo: relaxed, PBE.

CIF file:
```
data_Na2HfCo
_symmetry_space_group_name_H-M 'F m -3 m'
_symmetry_Int_Tables_number 225
_symmetry_space_group_name_Hall '-F 4 2 3'
_cell_length_a 6.795
_cell_length_b 6.795
_cell_length_c 6.795
_cell_angle_alpha 90.00
_cell_angle_beta 90.00
_cell_angle_gamma 90.00
loop_
_atom_site_label
_atom_site_type_symbol
_atom_site_fract_x
_atom_site_fract_y
_atom_site_fract_z
Na1 Na 0.250 0.250 0.250
Hf1 Hf 0.000 0.000 0.000
Co1 Co 0.000 0.000 0.500
```

Its density of states at the Fermi level is 28.42 states/eV/cell. The calculation puts the magnetic moment at 0.00 μB/atom. As for the formation energy: 481 kJ/mol of formula units. Its total energy is -58.8 eV per cell. For the relative energy among the computed polymorphs, the calculation gives 1.18 eV per formula unit.

***

Entry 6:
TlCr3Bi: relaxed, PBE.

CIF file:
```
data_TlCr3Bi
_symmetry_space_group_name_H-M 'P m -3 m'
_symmetry_Int_Tables_number 221
_symmetry_space_group_name_Hall '-P 4 2 3'
_cell_length_a 5.120
_cell_length_b 5.120
_cell_length_c 5.120
_cell_angle_alpha 90.00
_cell_angle_beta 90.00
_cell_angle_gamma 90.00
loop_
_atom_site_label
_atom_site_type_symbol
_atom_site_fract_x
_atom_site_fract_y
_atom_site_fract_z
Tl1 Tl 0.000 0.000 0.000
Cr1 Cr 0.000 0.000 0.500
Bi1 Bi 0.500 0.500 0.500
```

Its density of states at the Fermi level is 4.59 states/eV/cell. The calculation puts the magnetic moment at 2.31 μB/atom. As for the formation energy: 640 kJ/mol of formula units. Its total energy is -28.5 eV per cell. For the relative energy among the computed polymorphs, the calculation gives 0.42 eV per formula unit.

***

Entry 7:
SrBe2Sb: relaxed, PBE.

CIF file:
```
data_SrBe2Sb
_symmetry_space_group_name_H-M 'P m m m'
_symmetry_Int_Tables_number 47
_cell_length_a 4.144
_cell_length_b 4.774
_cell_length_c 4.844
_cell_angle_alpha 90.00
_cell_angle_beta 90.00
_cell_angle_gamma 90.00
loop_
_symmetry_equiv_pos_as_xyz
'x,y,z'
'-x,-y,-z'
'-x,-y,z'
'x,y,-z'
'x,-y,-z'
'-x,y,z'
'-x,y,-z'
'x,-y,z'
loop_
_atom_site_label
_atom_site_type_symbol
_atom_site_fract_x
_atom_site_fract_y
_atom_site_fract_z
Sr1 Sr 0.000 0.000 0.000
Be1 Be 0.500 0.220 0.500
Sb1 Sb 0.000 0.500 0.500
```

Its density of states at the Fermi level is 1.27 states/eV/cell. The calculation puts the magnetic moment at 0.00 μB/atom. Its total energy is -13.1 eV per cell.

***

Entry 8:
CsK3Zn: relaxed, PBE.

CIF file:
```
data_CsK3Zn
_symmetry_space_group_name_H-M 'P m -3 m'
_symmetry_Int_Tables_number 221
_symmetry_space_group_name_Hall '-P 4 2 3'
_cell_length_a 6.964
_cell_length_b 6.964
_cell_length_c 6.964
_cell_angle_alpha 90.00
_cell_angle_beta 90.00
_cell_angle_gamma 90.00
loop_
_atom_site_label
_atom_site_type_symbol
_atom_site_fract_x
_atom_site_fract_y
_atom_site_fract_z
Cs1 Cs 0.000 0.000 0.000
K1 K 0.000 0.500 0.500
Zn1 Zn 0.500 0.500 0.500
```

Its density of states at the Fermi level is 3.87 states/eV/cell. The calculation puts the magnetic moment at 0.00 μB/atom. As for the formation energy: 45 kJ/mol of formula units. Its total energy is -5.0 eV per cell. For the relative energy among the computed polymorphs, the calculation gives 0.00 eV per formula unit.

***

Entry 9:
MgGe2Au2: relaxed, PBE.

CIF file:
```
data_MgGe2Au2
_symmetry_space_group_name_H-M 'P 4/m b m'
_symmetry_Int_Tables_number 127
_symmetry_space_group_name_Hall '-P 4 2ab'
_cell_length_a 7.302
_cell_length_b 7.302
_cell_length_c 3.717
_cell_angle_alpha 90.00
_cell_angle_beta 90.00
_cell_angle_gamma 90.00
loop_
_atom_site_label
_atom_site_type_symbol
_atom_site_fract_x
_atom_site_fract_y
_atom_site_fract_z
Mg1 Mg 0.000 0.000 0.000
Ge1 Ge 0.165 0.335 0.500
Au1 Au 0.142 0.642 0.000
```

Its density of states at the Fermi level is 5.07 states/eV/cell. The calculation puts the magnetic moment at 0.00 μB/atom. As for the formation energy: -27 kJ/mol of formula units. Its total energy is -35.3 eV per cell.

***

Entry 10:
Sr2SmYSe4: relaxed, PBE.

CIF file:
```
data_Sr2SmYSe4
_symmetry_space_group_name_H-M 'P 1 2/m 1'
_symmetry_Int_Tables_number 10
_cell_length_a 7.330
_cell_length_b 4.235
_cell_length_c 7.505
_cell_angle_alpha 90.00
_cell_angle_beta 109.03
_cell_angle_gamma 90.00
loop_
_symmetry_equiv_pos_as_xyz
'x,y,z'
'-x,-y,-z'
'-x,y,-z'
'x,-y,z'
loop_
_atom_site_label
_atom_site_type_symbol
_atom_site_fract_x
_atom_site_fract_y
_atom_site_fract_z
Sr1 Sr 0.000 0.000 0.000
Sr2 Sr 0.500 0.500 0.000
Sm1 Sm 0.000 0.500 0.500
Y1 Y 0.500 0.000 0.500
Se1 Se 0.249 0.000 0.735
Se2 Se 0.259 0.500 0.267
```

Its density of states at the Fermi level is 3.63 states/eV/cell. The calculation puts the magnetic moment at 0.00 μB/atom. Its total energy is -43.7 eV per cell.

***

Entry 11:
YTaTiSn2: relaxed, PBE.

CIF file:
```
data_YTaTiSn2
_symmetry_space_group_name_H-M 'P 4/m m m'
_symmetry_Int_Tables_number 123
_symmetry_space_group_name_Hall '-P 4 2'
_cell_length_a 5.147
_cell_length_b 5.147
_cell_length_c 4.975
_cell_angle_alpha 90.00
_cell_angle_beta 90.00
_cell_angle_gamma 90.00
loop_
_atom_site_label
_atom_site_type_symbol
_atom_site_fract_x
_atom_site_fract_y
_atom_site_fract_z
Y1 Y 0.000 0.000 0.000
Ta1 Ta 0.500 0.500 0.000
Ti1 Ti 0.000 0.000 0.500
Sn1 Sn 0.000 0.500 0.500
```

Its density of states at the Fermi level is 5.53 states/eV/cell. The calculation puts the magnetic moment at 0.00 μB/atom. As for the formation energy: 483 kJ/mol of formula units. Its total energy is -29.2 eV per cell.

***

Entry 12:
Li2ScAu: relaxed, PBE.

CIF file:
```
data_Li2ScAu
_symmetry_space_group_name_H-M 'R -3 m'
_symmetry_Int_Tables_number 166
_symmetry_space_group_name_Hall '-R 3 2"'
_cell_length_a 3.0586
_cell_length_b 3.0586
_cell_length_c 28.2582
_cell_angle_alpha 90.00
_cell_angle_beta 90.00
_cell_angle_gamma 120.00
loop_
_atom_site_label
_atom_site_type_symbol
_atom_site_fract_x
_atom_site_fract_y
_atom_site_fract_z
Li1 Li 0.0000 0.0000 0.2380
Sc1 Sc 0.0000 0.0000 0.0000
Au1 Au 0.0000 0.0000 0.5000
```

Its density of states at the Fermi level is 7.48 states/eV/cell. The calculation puts the magnetic moment at 0.00 μB/atom. As for the formation energy: -34 kJ/mol of formula units. Its total energy is -41.4 eV per cell. For the relative energy among the computed polymorphs, the calculation gives 1.10 eV per formula unit.